(1)
# Ba7TlPd3 (GGA-PBE, optimized geometry)
data_Ba7TlPd3
_chemical_formula_sum 'Ba7 Tl1 Pd3'
_space_group_name_H-M_alt 'P 1'
_space_group_IT_number 1
_space_group_name_Hall 'P 1'
_cell_length_a 7.895
_cell_length_b 7.895
_cell_length_c 8.017
_cell_angle_alpha 102.16
_cell_angle_beta 102.16
_cell_angle_gamma 96.45
loop_
_atom_site_label
_atom_site_type_symbol
_atom_site_fract_x
_atom_site_fract_y
_atom_site_fract_z
_atom_site_occupancy
Ba1 Ba 0.000 0.000 0.000 1
Ba2 Ba 0.129 0.546 0.273 1
Ba3 Ba 0.353 0.353 0.778 1
Ba4 Ba 0.454 0.871 0.727 1
Ba5 Ba 0.546 0.129 0.273 1
Ba6 Ba 0.647 0.647 0.222 1
Ba7 Ba 0.871 0.454 0.727 1
Tl1 Tl 0.000 0.000 0.500 1
Pd1 Pd 0.276 0.724 0.000 1
Pd2 Pd 0.500 0.500 0.500 1
Pd3 Pd 0.724 0.276 0.000 1
# Energy in eV per atom: -3.210
# M_tot in μB per formula unit: 0.0


(2)
# Li8ZnCd5 (GGA-PBE, optimized geometry)
data_Li8ZnCd5
_chemical_formula_sum 'Li8 Zn1 Cd5'
_space_group_name_H-M_alt 'P 1'
_space_group_IT_number 1
_space_group_name_Hall 'P 1'
_cell_length_a 7.044
_cell_length_b 7.044
_cell_length_c 7.044
_cell_angle_alpha 110.37
_cell_angle_beta 110.37
_cell_angle_gamma 107.68
loop_
_atom_site_label
_atom_site_type_symbol
_atom_site_fract_x
_atom_site_fract_y
_atom_site_fract_z
_atom_site_occupancy
Li1 Li 0.160 0.426 0.084 1
Li2 Li 0.342 0.077 0.916 1
Li3 Li 0.408 0.152 0.392 1
Li4 Li 0.574 0.658 0.735 1
Li5 Li 0.760 0.016 0.608 1
Li6 Li 0.848 0.240 0.256 1
Li7 Li 0.923 0.840 0.265 1
Li8 Li 0.984 0.592 0.744 1
Zn1 Zn 0.000 0.000 0.000 1
Cd1 Cd 0.197 0.295 0.667 1
Cd2 Cd 0.250 0.750 0.500 1
Cd3 Cd 0.470 0.803 0.098 1
Cd4 Cd 0.628 0.530 0.333 1
Cd5 Cd 0.705 0.372 0.902 1
# Energy in eV per atom: -1.636
# M_tot in μB per formula unit: 0.0


(3)
# Hf2Ti3In3 (GGA-PBE, optimized geometry)
data_Hf2Ti3In3
_chemical_formula_sum 'Hf4 Ti6 In6'
_space_group_name_H-M_alt 'P 1'
_space_group_IT_number 1
_space_group_name_Hall 'P 1'
_cell_length_a 4.228
_cell_length_b 4.242
_cell_length_c 17.848
_cell_angle_alpha 90.00
_cell_angle_beta 90.00
_cell_angle_gamma 90.00
loop_
_atom_site_label
_atom_site_type_symbol
_atom_site_fract_x
_atom_site_fract_y
_atom_site_fract_z
_atom_site_occupancy
Hf1 Hf 0.000 0.000 0.248 1
Hf2 Hf 0.000 0.000 0.752 1
Hf3 Hf 0.500 0.500 0.252 1
Hf4 Hf 0.500 0.500 0.748 1
Ti1 Ti 0.000 0.000 0.000 1
Ti2 Ti 0.000 0.500 0.121 1
Ti3 Ti 0.000 0.500 0.879 1
Ti4 Ti 0.500 0.000 0.379 1
Ti5 Ti 0.500 0.000 0.621 1
Ti6 Ti 0.500 0.500 0.500 1
In1 In 0.000 0.000 0.500 1
In2 In 0.000 0.500 0.377 1
In3 In 0.000 0.500 0.623 1
In4 In 0.500 0.000 0.123 1
In5 In 0.500 0.000 0.877 1
In6 In 0.500 0.500 0.000 1
# Energy in eV per atom: -6.604
# M_tot in μB per formula unit: 0.0